# 1
# Li4Ti3Co3Ni2O16 (PBE+U, relaxed)
# final energy: -6.49 eV/atom
# magnetic moment: 6.95 μB/f.u.
data_Li4Ti3Co3Ni2O16
_chemical_formula_sum 'Li4 Ti3 Co3 Ni2 O16'
_cell_length_a 5.7707
_cell_length_b 5.7743
_cell_length_c 9.6614
_cell_angle_alpha 90.13
_cell_angle_beta 90.05
_cell_angle_gamma 119.47
_space_group_name_H-M_alt 'P 1'
_space_group_IT_number 1
_space_group_name_Hall 'P 1'
loop_
_atom_site_label
_atom_site_type_symbol
_atom_site_fract_x
_atom_site_fract_y
_atom_site_fract_z
Li1 Li 0.0000 0.0000 0.0000
Li2 Li 0.0023 0.9897 0.5033
Li3 Li 0.3149 0.6781 0.6083
Li4 Li 0.6461 0.3386 0.1008
Ti1 Ti 0.1283 0.3427 0.2873
Ti2 Ti 0.6433 0.8154 0.2783
Ti3 Ti 0.8115 0.1814 0.7804
Co1 Co 0.1660 0.8451 0.2857
Co2 Co 0.3214 0.1772 0.7861
Co3 Co 0.8166 0.6722 0.7863
Ni1 Ni 0.3246 0.6692 0.0068
Ni2 Ni 0.6529 0.3359 0.5113
O1 O 0.0205 0.5300 0.1642
O2 O 0.1482 0.8466 0.8824
O3 O 0.1524 0.3236 0.8921
O4 O 0.3115 0.1581 0.3886
O5 O 0.3255 0.6734 0.3963
O6 O 0.4660 0.9718 0.1653
O7 O 0.4694 0.5193 0.1665
O8 O 0.4943 0.0415 0.6675
O9 O 0.5033 0.4891 0.6762
O10 O 0.6491 0.3453 0.8931
O11 O 0.6718 0.8425 0.8928
O12 O 0.8292 0.1625 0.3996
O13 O 0.8422 0.6829 0.3891
O14 O 0.9506 0.4974 0.6674
O15 O 0.9890 0.0031 0.6885
O16 O 0.9947 0.0043 0.1860



# 2
# Li4Ti2Co3Ni3O16 (PBE+U, relaxed)
# final energy: -6.02 eV/atom
# magnetic moment: 9.00 μB/f.u.
data_Li4Ti2Co3Ni3O16
_chemical_formula_sum 'Li8 Ti4 Co6 Ni6 O32'
_cell_length_a 10.2555
_cell_length_b 5.6909
_cell_length_c 9.4023
_cell_angle_alpha 90.00
_cell_angle_beta 92.25
_cell_angle_gamma 90.00
_space_group_name_H-M_alt 'C 1 m 1'
_space_group_IT_number 8
_space_group_name_Hall 'C -2y'
loop_
_atom_site_label
_atom_site_type_symbol
_atom_site_fract_x
_atom_site_fract_y
_atom_site_fract_z
Li1 Li 0.0000 0.0000 0.0000
Li2 Li 0.0025 0.0000 0.4988
Li3 Li 0.1703 0.5000 0.1023
Li4 Li 0.3533 0.0000 0.5989
Ti1 Ti 0.1715 0.5000 0.4942
Ti2 Ti 0.3372 0.0000 0.9968
Co1 Co 0.3361 0.5000 0.7720
Co2 Co 0.4158 0.2451 0.2770
Ni1 Ni 0.0939 0.2537 0.7836
Ni2 Ni 0.1743 0.0000 0.2842
O1 O 0.0124 0.0000 0.6902
O2 O 0.0345 0.5000 0.6573
O3 O 0.0805 0.2562 0.4008
O4 O 0.1661 0.0000 0.9068
O5 O 0.1715 0.5000 0.8873
O6 O 0.2574 0.2823 0.6502
O7 O 0.2748 0.2295 0.1533
O8 O 0.3383 0.5000 0.3898
O9 O 0.3534 0.0000 0.3842
O10 O 0.4132 0.2532 0.8955
O11 O 0.4835 0.0000 0.1596
O12 O 0.4939 0.5000 0.1917



# 3
# Li4V2Co3Ni3O16 (PBE+U, relaxed)
# final energy: -5.83 eV/atom
# magnetic moment: 9.07 μB/f.u.
data_Li4V2Co3Ni3O16
_chemical_formula_sum 'Li8 V4 Co6 Ni6 O32'
_cell_length_a 10.1408
_cell_length_b 5.7811
_cell_length_c 9.3510
_cell_angle_alpha 90.00
_cell_angle_beta 91.31
_cell_angle_gamma 90.00
_space_group_name_H-M_alt 'C 1 m 1'
_space_group_IT_number 8
_space_group_name_Hall 'C -2y'
loop_
_atom_site_label
_atom_site_type_symbol
_atom_site_fract_x
_atom_site_fract_y
_atom_site_fract_z
Li1 Li 0.0000 0.0000 0.0000
Li2 Li 0.0002 0.0000 0.4952
Li3 Li 0.1551 0.5000 0.4034
Li4 Li 0.3202 0.0000 0.9021
V1 V 0.1572 0.5000 0.0046
V2 V 0.3431 0.0000 0.4924
Co1 Co 0.0812 0.2542 0.7221
Co2 Co 0.1664 0.0000 0.2280
Ni1 Ni 0.3202 0.5000 0.7145
Ni2 Ni 0.4043 0.2459 0.2151
O1 O 0.0014 0.0000 0.3024
O2 O 0.0008 0.0000 0.8056
O3 O 0.0120 0.5000 0.8412
O4 O 0.0834 0.2595 0.0974
O5 O 0.1421 0.5000 0.6151
O6 O 0.1587 0.0000 0.6102
O7 O 0.2197 0.2734 0.8467
O8 O 0.2421 0.2111 0.3536
O9 O 0.3106 0.0000 0.1126
O10 O 0.3193 0.5000 0.0772
O11 O 0.4084 0.2431 0.5960
O12 O 0.4694 0.0000 0.3628



# 4
# Li4Co3Ni3W2O16 (PBE+U, relaxed)
# final energy: -5.96 eV/atom
# magnetic moment: 0.95 μB/f.u.
data_Li4Co3Ni3W2O16
_chemical_formula_sum 'Li8 Co6 Ni6 W4 O32'
_cell_length_a 10.2737
_cell_length_b 5.8462
_cell_length_c 9.7063
_cell_angle_alpha 90.00
_cell_angle_beta 91.37
_cell_angle_gamma 90.00
_space_group_name_H-M_alt 'C 1 m 1'
_space_group_IT_number 8
_space_group_name_Hall 'C -2y'
loop_
_atom_site_label
_atom_site_type_symbol
_atom_site_fract_x
_atom_site_fract_y
_atom_site_fract_z
Li1 Li 0.0000 0.0000 0.0000
Li2 Li 0.0017 0.0000 0.5020
Li3 Li 0.1688 0.5000 0.9128
Li4 Li 0.3464 0.0000 0.4192
Co1 Co 0.3361 0.5000 0.2291
Co2 Co 0.4152 0.2485 0.7285
Ni1 Ni 0.0909 0.2541 0.2245
Ni2 Ni 0.1746 0.0000 0.7227
W1 W 0.1717 0.5000 0.4961
W2 W 0.3292 0.0000 0.9990
O1 O 0.0284 0.5000 0.3600
O2 O 0.0991 0.2533 0.5929
O3 O 0.1748 0.0000 0.1009
O4 O 0.1921 0.5000 0.1287
O5 O 0.2555 0.2796 0.3623
O6 O 0.2625 0.2255 0.8643
O7 O 0.3397 0.5000 0.6081
O8 O 0.3495 0.0000 0.6291
O9 O 0.4226 0.2390 0.0959
O10 O 0.4819 0.0000 0.8514
O11 O 0.4912 0.5000 0.3105
O12 O 0.4995 0.5000 0.8103



> What is the magnetic moment in the third record?

9.07 μB/f.u.



Copy entry 1 word for word.
# Li4Ti3Co3Ni2O16 (PBE+U, relaxed)
# final energy: -6.49 eV/atom
# magnetic moment: 6.95 μB/f.u.
data_Li4Ti3Co3Ni2O16
_chemical_formula_sum 'Li4 Ti3 Co3 Ni2 O16'
_cell_length_a 5.7707
_cell_length_b 5.7743
_cell_length_c 9.6614
_cell_angle_alpha 90.13
_cell_angle_beta 90.05
_cell_angle_gamma 119.47
_space_group_name_H-M_alt 'P 1'
_space_group_IT_number 1
_space_group_name_Hall 'P 1'
loop_
_atom_site_label
_atom_site_type_symbol
_atom_site_fract_x
_atom_site_fract_y
_atom_site_fract_z
Li1 Li 0.0000 0.0000 0.0000
Li2 Li 0.0023 0.9897 0.5033
Li3 Li 0.3149 0.6781 0.6083
Li4 Li 0.6461 0.3386 0.1008
Ti1 Ti 0.1283 0.3427 0.2873
Ti2 Ti 0.6433 0.8154 0.2783
Ti3 Ti 0.8115 0.1814 0.7804
Co1 Co 0.1660 0.8451 0.2857
Co2 Co 0.3214 0.1772 0.7861
Co3 Co 0.8166 0.6722 0.7863
Ni1 Ni 0.3246 0.6692 0.0068
Ni2 Ni 0.6529 0.3359 0.5113
O1 O 0.0205 0.5300 0.1642
O2 O 0.1482 0.8466 0.8824
O3 O 0.1524 0.3236 0.8921
O4 O 0.3115 0.1581 0.3886
O5 O 0.3255 0.6734 0.3963
O6 O 0.4660 0.9718 0.1653
O7 O 0.4694 0.5193 0.1665
O8 O 0.4943 0.0415 0.6675
O9 O 0.5033 0.4891 0.6762
O10 O 0.6491 0.3453 0.8931
O11 O 0.6718 0.8425 0.8928
O12 O 0.8292 0.1625 0.3996
O13 O 0.8422 0.6829 0.3891
O14 O 0.9506 0.4974 0.6674
O15 O 0.9890 0.0031 0.6885
O16 O 0.9947 0.0043 0.1860



> Which formula does entry 2 have?

Li4Ti2Co3Ni3O16